# PBE-GGA AcNd6Dy, relaxed
# **VASP energy**: -4.64 eV/atom
# **Formation energy from the elements**: 0.0255 eV/atom
data_AcNd6Dy
_chemical_formula_sum 'Ac1 Nd6 Dy1'
_cell_length_a 5.2330
_cell_length_b 5.2330
_cell_length_c 10.4669
_cell_angle_alpha 90.00
_cell_angle_beta 90.00
_cell_angle_gamma 90.00
_symmetry_space_group_name_H-M 'P 4/m m m'
_symmetry_Int_Tables_number 123
_symmetry_space_group_name_Hall '-P 4 2'
loop_
_atom_site_label
_atom_site_fract_x
_atom_site_fract_y
_atom_site_fract_z
Ac1 0.0000 0.0000 0.0000
Nd1 0.0000 0.5000 0.2579
Nd2 0.5000 0.5000 0.0000
Nd3 0.5000 0.5000 0.5000
Dy1 0.0000 0.0000 0.5000